VASP calculation (PBE-GGA) on a relaxed structure of PmMnNi2.

Lattice parameters (Å, degrees): 3.209 3.209 6.378 90.00 90.00 90.00
Space group P4/mmm (No. 123)
Inequivalent atoms, fractional coordinates:
Pm: 0.000 0.000 0.000 [1 per cell]
Mn: 0.000 0.000 0.500 [1 per cell]
Ni: 0.500 0.500 0.301 [2 per cell]

Total magnetic moment: 4.58 μB per formula unit
Uncorrected energy: -25.6 eV for the cell shown